Compound: YZnCuPd
Source: Alexandria via LeMat-Bulk
Functional: PBE
Structure: optimized geometry

a = 4.372 Å, b = 4.363 Å, c = 5.153 Å
α = 115.15°, β = 90.00°, γ = 120.07°
Atoms (fractional coordinates):
Zn (0.111, 0.222, 0.976)
Pd (0.831, 0.663, 0.137)
Cu (0.407, 0.814, 0.862)
Y (0.617, 0.234, 0.493)

Results
SG   Cm, No. 8
E_tot   -4.756 eV per atom
Theoretical density   7.27 g/cm3
Formation energy   -499 meV/atom
Magnetic moment   0.0 μB/f.u.

Compound: Y2Zn2Cu5Pd
Source: Alexandria via LeMat-Bulk
Functional: PBE
Structure: optimized geometry

a = 3.688 Å, b = 9.484 Å, c = 9.484 Å
α = 90.00°, β = 90.00°, γ = 90.00°
Atoms (fractional coordinates):
Y (0.000, 0.819, 0.681)
Y (0.000, 0.681, 0.181)
Y (0.000, 0.319, 0.819)
Y (0.000, 0.181, 0.319)
Zn (0.000, 0.883, 0.383)
Zn (0.000, 0.617, 0.883)
Zn (0.000, 0.117, 0.617)
Zn (0.000, 0.383, 0.117)
Cu (0.500, 0.302, 0.548)
Cu (0.500, 0.952, 0.198)
Cu (0.500, 0.198, 0.048)
Cu (0.500, 0.698, 0.452)
Cu (0.500, 0.452, 0.302)
Cu (0.500, 0.500, 0.000)
Cu (0.500, 0.548, 0.698)
Cu (0.500, 0.802, 0.952)
Cu (0.500, 0.000, 0.500)
Cu (0.500, 0.048, 0.802)
Pd (0.000, 0.000, 0.000)
Pd (0.000, 0.500, 0.500)

Results
SG   P4/mbm, No. 127
E_tot   -4.261 eV per atom
Theoretical density   7.34 g/cm3
Formation energy   -146 meV/atom
Magnetic moment   0.0 μB/f.u.

Compound: Y2Zn2CuPd5
Source: Alexandria via LeMat-Bulk
Functional: PBE
Structure: optimized geometry

a = 3.766 Å, b = 9.607 Å, c = 9.607 Å
α = 90.00°, β = 90.00°, γ = 90.00°
Atoms (fractional coordinates):
Y (0.000, 0.177, 0.323)
Y (0.000, 0.677, 0.177)
Y (0.000, 0.823, 0.677)
Y (0.000, 0.323, 0.823)
Pd (0.500, 0.700, 0.434)
Pd (0.500, 0.200, 0.066)
Pd (0.500, 0.934, 0.200)
Pd (0.500, 0.300, 0.566)
Pd (0.500, 0.800, 0.934)
Pd (0.500, 0.500, 0.000)
Pd (0.500, 0.000, 0.500)
Pd (0.500, 0.066, 0.800)
Pd (0.500, 0.566, 0.700)
Pd (0.500, 0.434, 0.300)
Zn (0.000, 0.378, 0.122)
Zn (0.000, 0.622, 0.878)
Zn (0.000, 0.122, 0.622)
Zn (0.000, 0.878, 0.378)
Cu (0.000, 0.000, 0.000)
Cu (0.000, 0.500, 0.500)

Results
SG   P4/mbm, No. 127
E_tot   -5.156 eV per atom
Theoretical density   8.64 g/cm3
Formation energy   -602 meV/atom
Magnetic moment   0.0 μB/f.u.

Compound: Y4ZnCu2Pd
Source: Alexandria via LeMat-Bulk
Functional: PBE
Structure: optimized geometry

a = 4.972 Å, b = 4.972 Å, c = 8.639 Å
α = 73.27°, β = 73.27°, γ = 60.00°
Atoms (fractional coordinates):
Y (0.126, 0.126, 0.621)
Y (0.874, 0.874, 0.379)
Y (0.623, 0.623, 0.130)
Y (0.377, 0.377, 0.870)
Cu (0.254, 0.254, 0.237)
Cu (0.746, 0.746, 0.763)
Zn (0.000, 0.000, 0.000)
Pd (0.500, 0.500, 0.500)

Results
SG   R-3m, No. 166
E_tot   -5.499 eV per atom
Theoretical density   6.23 g/cm3
Formation energy   -435 meV/atom
Magnetic moment   0.0 μB/f.u.

Q: Look up the theoretical density of the first one.
A: 7.27 g/cm3